Crystalline BaTlTc2 at its relaxed geometry. Source: the Alexandria database, functional PBE.

Unit cell a=4.716 b=4.716 c=4.072 alpha=90.00 beta=90.00 gamma=90.00
Positions (direct):
Ba: 0.000 0.500 0.500
Tc: 0.000 0.000 0.000
Tc: 0.500 0.500 0.000
Tl: 0.500 0.000 0.500

The value obtained for the density is 9858 kg/m³. The calculated volume is 22.644 A^3/atom. As for the final energy: -5.074 eV per atom. As for the energy relative to the elements: 1181 meV per atom.